(1)
RbTa3Rh meta-GGA SCAN single point on PBEsol structure; formation energy = 1.49 eV/atom; calculated volume = 23.8 A^3/atom; E = -246.80 eV for the cell shown; SG = Pm-3m; DOS(E_F) = 3.97 states/eV per cell
1.0
4.919 0.000 0.000
0.000 4.919 0.000
0.000 0.000 4.919
Rb Ta Rh
1 3 1
Cartesian
0.000 0.000 0.000
0.000 2.460 2.460
2.460 0.000 2.460
2.460 2.460 0.000
2.460 2.460 2.460

=====

(2)
RbTcRh3 meta-GGA SCAN single point on PBEsol structure; formation energy = 2.72 eV/atom; calculated volume = 19.9 A^3/atom; E = -143.51 eV for the cell shown; SG = Pm-3m; DOS(E_F) = 3.91 states/eV per cell
1.0
4.632 0.000 0.000
0.000 4.632 0.000
0.000 0.000 4.632
Rb Tc Rh
1 1 3
Cartesian
0.000 0.000 0.000
2.316 2.316 2.316
0.000 0.000 2.316
0.000 2.316 0.000
2.316 0.000 0.000

=====

(3)
RbTe2Rh2 meta-GGA SCAN single point on PBEsol structure; E_form (uncorrected) = -0.569 eV per atom; calculated volume = 25.1 A^3/atom; E = -165.63 eV for the cell shown; SG = I4/mmm; DOS(E_F) = 2.58 states/eV per cell
1.0
-2.050 2.050 7.460
2.050 -2.050 7.460
2.050 2.050 -7.460
Rb Te Rh
1 2 2
Cartesian
0.000 0.000 0.000
0.000 0.000 5.321
0.000 0.000 9.599
2.050 0.000 3.730
0.000 2.050 3.730

=====

(4)
RbZrRh3 meta-GGA SCAN single point on PBEsol structure; formation energy = 0.71 eV/atom; calculated volume = 23.1 A^3/atom; E = -149.21 eV for the cell shown; SG = Pm-3m; DOS(E_F) = 3.77 states/eV per cell
1.0
4.870 0.000 0.000
0.000 4.870 0.000
0.000 0.000 4.870
Rb Zr Rh
1 1 3
Cartesian
0.000 0.000 0.000
2.435 2.435 2.435
0.000 2.435 2.435
2.435 0.000 2.435
2.435 2.435 0.000

=====

(5)
RbRu3S meta-GGA SCAN single point on PBEsol structure; E_form (uncorrected) = 0.907 eV per atom; calculated volume = 17.6 A^3/atom; E = -130.31 eV for the cell shown; SG = Pm-3m; DOS(E_F) = 4.73 states/eV per cell
1.0
4.446 0.000 0.000
0.000 4.446 0.000
0.000 0.000 4.446
Rb Ru S
1 3 1
Cartesian
0.000 0.000 0.000
0.000 2.223 2.223
2.223 0.000 2.223
2.223 2.223 0.000
2.223 2.223 2.223

=====

(6)
Rb3RuS meta-GGA SCAN single point on PBEsol structure; E_form (uncorrected) = 0.340 eV per atom; calculated volume = 49.0 A^3/atom; E = -104.97 eV for the cell shown; SG = Pm-3m; DOS(E_F) = 13.53 states/eV per cell
1.0
6.255 0.000 0.000
0.000 6.255 0.000
0.000 0.000 6.255
Rb Ru S
3 1 1
Cartesian
0.000 0.000 3.128
0.000 3.128 0.000
3.128 0.000 0.000
3.128 3.128 3.128
0.000 0.000 0.000

=====

(7)
RbSbRu2Se meta-GGA SCAN single point on PBEsol structure; E_form (uncorrected) = 2.393 eV per atom; calculated volume = 24.9 A^3/atom; E = -135.76 eV for the cell shown; SG = P4/mmm; DOS(E_F) = 3.20 states/eV per cell
1.0
4.694 0.000 0.000
0.000 4.694 0.000
0.000 0.000 5.652
Rb Sb Ru Se
1 1 2 1
Cartesian
0.000 0.000 0.000
2.347 2.347 2.826
0.000 2.347 0.000
2.347 0.000 0.000
0.000 0.000 2.826

=====

(8)
RbSbTe2Ru meta-GGA SCAN single point on PBEsol structure; E_form (uncorrected) = -0.010 eV per atom; calculated volume = 29.7 A^3/atom; E = -167.38 eV for the cell shown; SG = P4/mmm; DOS(E_F) = 6.21 states/eV per cell
1.0
5.468 0.000 0.000
0.000 5.468 0.000
0.000 0.000 4.972
Rb Sb Te Ru
1 1 2 1
Cartesian
0.000 0.000 0.000
2.734 2.734 0.000
0.000 2.734 2.486
2.734 0.000 2.486
2.734 2.734 2.486

=====

(9)
RbSc2Ru meta-GGA SCAN single point on PBEsol structure; formation energy = 0.60 eV/atom; calculated volume = 20.9 A^3/atom; E = -81.64 eV for the cell shown; SG = Fm-3m; DOS(E_F) = 3.50 states/eV per cell
1.0
0.000 3.469 3.469
3.469 0.000 3.469
3.469 3.469 0.000
Rb Sc Ru
1 2 1
Cartesian
0.000 0.000 0.000
1.735 1.735 1.735
5.204 5.204 5.204
3.469 3.469 3.469

=====

(10)
Rb2ScRu meta-GGA SCAN single point on PBEsol structure; formation energy = 1.69 eV/atom; calculated volume = 28.6 A^3/atom; E = -83.79 eV for the cell shown; SG = Fm-3m; DOS(E_F) = 8.59 states/eV per cell
1.0
0.000 3.851 3.851
3.851 0.000 3.851
3.851 3.851 0.000
Rb Sc Ru
2 1 1
Cartesian
1.926 1.926 1.926
5.777 5.777 5.777
0.000 0.000 0.000
3.851 3.851 3.851

=====

(11)
Rb3RuSe meta-GGA SCAN single point on PBEsol structure; E_form (uncorrected) = 0.599 eV per atom; calculated volume = 31.5 A^3/atom; E = -114.13 eV for the cell shown; SG = Pm-3m; DOS(E_F) = 2.11 states/eV per cell
1.0
5.399 0.000 0.000
0.000 5.399 0.000
0.000 0.000 5.399
Rb Ru Se
3 1 1
Cartesian
0.000 0.000 2.700
0.000 2.700 0.000
2.700 0.000 0.000
0.000 0.000 0.000
2.700 2.700 2.700

=====

(12)
RbSrRu2Se meta-GGA SCAN single point on PBEsol structure; E_form (uncorrected) = 1.382 eV per atom; calculated volume = 30.3 A^3/atom; E = -125.84 eV for the cell shown; SG = P4/mmm; DOS(E_F) = 2.99 states/eV per cell
1.0
5.088 0.000 0.000
0.000 5.088 0.000
0.000 0.000 5.846
Rb Sr Ru Se
1 1 2 1
Cartesian
0.000 0.000 0.000
2.544 2.544 2.923
0.000 2.544 2.923
2.544 0.000 2.923
2.544 2.544 0.000

=====

(13)
Rb3SnRu meta-GGA SCAN single point on PBEsol structure; formation energy = 1.04 eV/atom; calculated volume = 38.9 A^3/atom; E = -127.77 eV for the cell shown; SG = Pm-3m; DOS(E_F) = 2.11 states/eV per cell
1.0
5.794 0.000 0.000
0.000 5.794 0.000
0.000 0.000 5.794
Rb Sn Ru
3 1 1
Cartesian
0.000 0.000 2.897
0.000 2.897 0.000
2.897 0.000 0.000
2.897 2.897 2.897
0.000 0.000 0.000

=====

(14)
RbSnRu3 meta-GGA SCAN single point on PBEsol structure; formation energy = 2.93 eV/atom; calculated volume = 21.0 A^3/atom; E = -146.51 eV for the cell shown; SG = Pm-3m; DOS(E_F) = 5.48 states/eV per cell
1.0
4.716 0.000 0.000
0.000 4.716 0.000
0.000 0.000 4.716
Rb Sn Ru
1 1 3
Cartesian
0.000 0.000 0.000
2.358 2.358 2.358
0.000 0.000 2.358
0.000 2.358 0.000
2.358 0.000 0.000

=====

(15)
RbTa3Ru meta-GGA SCAN single point on PBEsol structure; formation energy = 3.54 eV/atom; calculated volume = 20.0 A^3/atom; E = -237.59 eV for the cell shown; SG = Pm-3m; DOS(E_F) = 5.86 states/eV per cell
1.0
4.640 0.000 0.000
0.000 4.640 0.000
0.000 0.000 4.640
Rb Ta Ru
1 3 1
Cartesian
0.000 0.000 0.000
0.000 0.000 2.320
0.000 2.320 0.000
2.320 0.000 0.000
2.320 2.320 2.320

=====

(16)
RbTcRu3 meta-GGA SCAN single point on PBEsol structure; formation energy = 3.45 eV/atom; calculated volume = 18.5 A^3/atom; E = -143.04 eV for the cell shown; SG = Pm-3m; DOS(E_F) = 6.03 states/eV per cell
1.0
4.521 0.000 0.000
0.000 4.521 0.000
0.000 0.000 4.521
Rb Tc Ru
1 1 3
Cartesian
0.000 0.000 0.000
2.260 2.260 2.260
0.000 0.000 2.260
0.000 2.260 0.000
2.260 0.000 0.000

=====

(17)
RbYTeRu2 meta-GGA SCAN single point on PBEsol structure; E_form (uncorrected) = 1.321 eV per atom; calculated volume = 27.1 A^3/atom; E = -148.88 eV for the cell shown; SG = P4/mmm; DOS(E_F) = 3.19 states/eV per cell
1.0
4.881 0.000 0.000
0.000 4.881 0.000
0.000 0.000 5.684
Rb Y Te Ru
1 1 1 2
Cartesian
0.000 0.000 0.000
0.000 0.000 2.842
2.440 2.440 0.000
0.000 2.440 2.842
2.440 0.000 2.842

=====

(18)
RbTi3Ru meta-GGA SCAN single point on PBEsol structure; formation energy = 2.29 eV/atom; calculated volume = 18.4 A^3/atom; E = -92.22 eV for the cell shown; SG = Pm-3m; DOS(E_F) = 5.61 states/eV per cell
1.0
4.516 0.000 0.000
0.000 4.516 0.000
0.000 0.000 4.516
Rb Ti Ru
1 3 1
Cartesian
0.000 0.000 0.000
0.000 0.000 2.258
0.000 2.258 0.000
2.258 0.000 0.000
2.258 2.258 2.258

=====

(19)
Rb2S3 meta-GGA SCAN single point on PBEsol structure; E_form (uncorrected) = -0.949 eV per atom; calculated volume = 29.2 A^3/atom; E = -150.22 eV for the cell shown; SG = Cmc2_1; DOS(E_F) = 0.00 states/eV per cell
1.0
3.671 -5.227 0.000
3.671 5.227 0.000
0.000 0.000 7.597
Rb S
4 6
Cartesian
3.671 4.402 3.798
3.671 1.079 5.531
3.671 -1.079 1.732
3.671 -4.402 0.000
1.996 1.681 2.614
3.671 2.121 1.445
1.996 -1.681 6.412
5.345 1.681 2.614
3.671 -2.121 5.244
5.345 -1.681 6.412

=====

(20)
Rb3SbS4 meta-GGA SCAN single point on PBEsol structure; E_form (uncorrected) = -1.046 eV per atom; calculated volume = 32.2 A^3/atom; E = -585.42 eV for the cell shown; SG = Pnma; DOS(E_F) = 0.00 states/eV per cell
1.0
9.482 0.000 0.000
0.000 11.006 0.000
0.000 0.000 9.864
Rb Sb S
12 4 16
Cartesian
0.593 0.477 2.000
0.593 5.027 2.000
1.337 8.255 4.186
3.404 2.752 9.118
4.148 5.980 6.932
4.148 10.530 6.932
5.334 0.477 2.932
5.334 5.027 2.932
6.078 8.255 0.746
8.145 2.752 5.678
8.889 5.980 7.864
8.889 10.530 7.864
2.121 8.255 9.690
2.620 2.752 4.757
6.862 8.255 5.107
7.361 2.752 0.175
0.041 8.255 0.938
1.427 0.802 5.292
1.427 4.701 5.292
1.743 8.255 7.370
2.998 2.752 2.437
3.314 6.305 0.360
3.314 10.204 0.360
4.700 2.752 5.870
4.782 8.255 3.994
6.168 0.802 9.505
6.168 4.701 9.505
6.484 8.255 7.427
7.739 2.752 2.495
8.055 6.305 4.572
8.055 10.204 4.572
9.441 2.752 8.926

=====

(21)
Rb2Sb4S7 meta-GGA SCAN single point on PBEsol structure; E_form (uncorrected) = -0.610 eV per atom; calculated volume = 29.8 A^3/atom; E = -531.71 eV for the cell shown; SG = P-1; DOS(E_F) = 0.00 states/eV per cell
1.0
7.548 0.000 0.000
2.841 9.125 0.000
0.811 1.397 11.237
Rb Sb S
4 8 14
Cartesian
1.788 2.632 5.022
4.703 8.687 9.940
6.497 1.835 1.297
9.413 7.891 6.215
2.242 6.650 2.634
2.859 3.293 0.464
5.491 8.657 1.959
5.321 5.217 7.429
5.879 5.306 3.808
5.710 1.865 9.278
8.341 7.229 10.773
8.958 3.872 8.603
2.638 6.254 9.481
3.407 8.946 3.238
2.389 2.772 10.656
3.865 5.429 5.175
4.329 5.808 1.612
3.543 1.780 2.485
4.457 2.888 7.385
6.743 7.634 3.852
7.658 8.742 8.752
6.872 4.714 9.624
7.335 5.093 6.061
8.811 7.751 0.581
7.793 1.576 7.999
8.562 4.269 1.756

=====

(22)
Rb2Sb4S7 meta-GGA SCAN single point on PBEsol structure; E_form (uncorrected) = -0.610 eV per atom; calculated volume = 27.6 A^3/atom; E = -531.69 eV for the cell shown; SG = P2_1/c
1.0
7.012 0.000 0.000
0.000 12.318 0.000
-6.507 0.000 8.313
Rb Sb S
4 8 14
Cartesian
-1.234 0.768 2.954
-4.488 5.392 7.111
4.992 6.927 1.202
1.739 11.551 5.359
1.989 1.905 0.412
-1.264 4.254 4.569
-1.389 7.875 5.351
1.865 10.603 1.195
-1.360 1.716 7.118
1.893 4.443 2.962
1.769 8.064 3.744
-1.484 10.413 7.901
0.000 0.000 0.000
-3.253 6.159 4.157
-3.038 2.847 5.465
0.215 3.313 1.308
-3.161 8.666 6.836
0.092 9.812 2.680
1.212 6.565 1.848
-2.041 11.913 6.005
2.546 0.406 2.308
-0.707 5.754 6.465
0.413 2.507 5.633
3.666 3.652 1.477
0.290 9.006 7.005
3.543 9.472 2.848

=====

(23)
Rb3SbS3 meta-GGA SCAN single point on PBEsol structure; E_form (uncorrected) = -1.130 eV per atom; calculated volume = 33.4 A^3/atom; E = -545.10 eV for the cell shown; SG = P2_13; DOS(E_F) = 0.00 states/eV per cell
1.0
9.775 0.000 0.000
0.000 9.775 0.000
0.000 0.000 9.775
Rb Sb S
12 4 12
Cartesian
0.587 0.587 0.587
0.632 9.143 4.256
1.726 3.162 6.613
3.162 6.613 1.726
4.256 0.632 9.143
4.301 9.188 5.474
5.474 4.301 9.188
5.519 5.519 5.519
6.613 1.726 3.162
8.049 8.049 8.049
9.143 4.256 0.632
9.188 5.474 4.301
2.168 7.056 7.606
2.719 2.719 2.719
7.056 7.606 2.168
7.606 2.168 7.056
0.386 2.497 3.397
1.491 9.389 7.384
2.391 6.378 5.274
2.497 3.397 0.386
3.397 0.386 2.497
4.501 7.278 8.284
5.274 2.391 6.378
6.378 5.274 2.391
7.278 8.284 4.501
7.384 1.491 9.389
8.284 4.501 7.278
9.389 7.384 1.491